[1]
Here is a relaxed structure of Mn4Pt from the Alexandria database. Energies are from GGA-PBE.

ΔH_f (0 K) in meV per atom: 259
Total magnetic moment in μB per formula unit: 1.0

Unit cell a=5.406 b=5.406 c=5.406 alpha=140.19 beta=140.19 gamma=57.57
Each line ends with the local moment (μB).
Atoms (fractional coordinates):
Mn 0.612 0.612 0.000  -0.87
Mn 0.388 0.388 0.000  -0.87
Pt 0.000 0.000 0.000  0.01
Mn 0.750 0.250 0.500  1.37
Mn 0.250 0.750 0.500  1.37

[2]
Here is a relaxed structure of Na2MgH from the Alexandria database. Energies are from GGA-PBE.

Energy relative to the lowest polymorph listed for this composition in eV per atom: 0.294
Total magnetic moment in μB per formula unit: 0.0

Unit cell a=5.231 b=5.231 c=5.231 alpha=60.00 beta=60.00 gamma=60.00
Atoms (fractional coordinates):
Mg 0.500 0.500 0.500
H 0.000 0.000 0.000
Na 0.750 0.750 0.750
Na 0.250 0.250 0.250

[3]
Here is a relaxed structure of SrSnCl2 from the Alexandria database. Energies are from GGA-PBE.

Raw formation energy in eV/atom: -1.005
Energy relative to the lowest polymorph listed for this composition in eV per atom: 0.376
Total magnetic moment in μB per formula unit: 0.9

Unit cell a=5.373 b=5.373 c=5.373 alpha=60.00 beta=60.00 gamma=60.00
Each line ends with the local moment (μB).
Atoms (fractional coordinates):
Cl 0.250 0.250 0.250  0.03
Sn 0.500 0.500 0.500  0.29
Cl 0.750 0.750 0.750  0.03
Sr 0.000 0.000 0.000  0.06

| no. | mass density (kg/m³) |
| --- | --- |
| 1 | 10729 |
| 2 | 1170 |
| 3 | 4196 |